Compound: PmSm6Tm8
Source: Alexandria via LeMat-Bulk
Functional: GGA-PBE
Structure: relaxed Values from VASP.

```
&SYSTEM
  ibrav = 0, nat = 15, ntyp = 3
/
ATOMIC_SPECIES
Tm 168.93 Tm.upf
Sm 150.36 Sm.upf
Pm 145.00 Pm.upf
CELL_PARAMETERS angstrom
6.466 0.000 0.000
0.000 8.184 -4.725
0.000 0.000 9.450
ATOMIC_POSITIONS angstrom
Tm 5.857 2.748 -1.370
Tm 0.609 2.561 1.695
Sm 3.805 5.573 -2.315
Tm 5.499 2.728 4.725
Sm 2.660 0.782 3.466
Sm 2.660 4.791 3.669
Tm 0.967 5.456 0.000
Tm 5.857 7.996 -1.660
Sm 2.660 2.611 7.040
Tm 5.857 5.623 3.030
Pm 3.233 0.000 0.000
Tm 0.609 0.188 6.385
Tm 0.609 5.436 6.095
Sm 3.805 7.402 1.259
Sm 3.805 3.393 1.056
```

Results
- total moment (Bohr magnetons per cell) = 0.0
- formation energy (eV/atom) = 0.2318

Compound: Ac4Sb2PtSe
Source: Alexandria via LeMat-Bulk
Functional: GGA-PBE
Structure: relaxed Values from VASP.

```
&SYSTEM
  ibrav = 0, nat = 8, ntyp = 4
/
ATOMIC_SPECIES
Sb 121.76 Sb.upf
Ac 227.00 Ac.upf
Se 78.96 Se.upf
Pt 195.08 Pt.upf
CELL_PARAMETERS angstrom
4.604 0.000 0.000
0.000 8.095 0.150
0.000 -2.823 7.505
ATOMIC_POSITIONS angstrom
Sb 2.302 -1.411 3.752
Ac 0.000 5.399 1.904
Sb 0.000 2.636 3.828
Ac 2.302 1.246 1.747
Se 2.302 4.048 0.075
Ac 2.302 4.027 5.908
Pt 0.000 0.000 0.000
Ac 0.000 -0.127 5.751
```

Results
- total moment (Bohr magnetons per cell) = 0.0
- ΔE_f (raw) (meV per atom) = -1308

Compound: CoRuPt2
Source: Alexandria via LeMat-Bulk
Functional: GGA-PBE
Structure: relaxed Values from VASP.

```
&SYSTEM
  ibrav = 0, nat = 8, ntyp = 3
/
ATOMIC_SPECIES
Ru 101.07 Ru.upf
Pt 195.08 Pt.upf
Co 58.93 Co.upf
CELL_PARAMETERS angstrom
6.887 0.000 0.000
0.000 6.887 0.000
3.443 3.443 2.629
ATOMIC_POSITIONS angstrom
Ru 0.000 0.000 0.000
Pt 5.165 5.300 1.971
Co 3.443 6.887 1.314
Pt 1.856 5.165 0.657
Pt 5.030 1.722 0.657
Ru 6.887 3.443 1.314
Co 3.443 3.443 0.000
Pt 8.608 8.474 1.971
```

Results
- total moment (Bohr magnetons per cell) = 6.1
- formation energy (eV/atom) = 0.5349
- distance to the lowest polymorph of the same formula (meV/atom) = 532